Here is a relaxed structure of CsPdBr5 from Alexandria via LeMat-Bulk. Energies are from PBE-GGA.

Unit cell a=8.049 b=8.049 c=8.049 alpha=122.06 beta=81.22 gamma=128.45
Fractional positions:
Cs 0.000 0.000 0.000
Pd 0.423 0.923 0.500
Br 0.076 0.576 0.500
Br 0.250 0.949 0.301
Br 0.495 0.322 0.827
Br 0.495 0.668 0.173
Br 0.648 0.949 0.699

The uncorrected energy is -2.598 eV/atom.

---

Here is a relaxed structure of Cs3PdBr from Alexandria via LeMat-Bulk. Energies are from PBE-GGA.

Unit cell a=6.646 b=6.646 c=6.646 alpha=90.00 beta=90.00 gamma=90.00
Fractional positions:
Cs 0.000 0.000 0.500
Cs 0.000 0.500 0.000
Cs 0.500 0.000 0.000
Pd 0.000 0.000 0.000
Br 0.500 0.500 0.500

The calculation puts the energy relative to the lowest polymorph listed for this composition at 0 meV per atom.

---

Here is a relaxed structure of CsPd2Br6 from Alexandria via LeMat-Bulk. Energies are from PBE-GGA.

Unit cell a=6.866 b=6.866 c=8.206 alpha=90.00 beta=90.00 gamma=120.00
Fractional positions:
Cs 0.000 0.000 0.000
Pd 0.333 0.667 0.500
Pd 0.667 0.333 0.500
Br 0.000 0.372 0.680
Br 0.000 0.628 0.320
Br 0.372 0.000 0.680
Br 0.372 0.372 0.320
Br 0.628 0.000 0.320
Br 0.628 0.628 0.680

The calculation puts the energy relative to the lowest polymorph listed for this composition at 0 meV per atom.

---

Here is a relaxed structure of CsPd4Br12 from Alexandria via LeMat-Bulk. Energies are from PBE-GGA.

Unit cell a=8.589 b=8.589 c=8.589 alpha=109.47 beta=109.47 gamma=109.47
Fractional positions:
Cs 0.000 0.000 0.000
Pd 0.000 0.000 0.500
Pd 0.000 0.500 0.000
Pd 0.500 0.000 0.000
Pd 0.500 0.500 0.500
Br 0.114 0.309 0.805
Br 0.195 0.504 0.309
Br 0.195 0.886 0.691
Br 0.309 0.195 0.504
Br 0.309 0.805 0.114
Br 0.496 0.691 0.805
Br 0.504 0.309 0.195
Br 0.691 0.195 0.886
Br 0.691 0.805 0.496
Br 0.805 0.114 0.309
Br 0.805 0.496 0.691
Br 0.886 0.691 0.195

The uncorrected energy is -2.825 eV/atom.